A plane-wave DFT calculation with PBE was carried out for Sr2Cu4GeAs3 after structural relaxation.

Cell: 4.2790 4.2790 10.3620 Å, 90.00 90.00 90.00°
With the nearest neighbours (Å) after each atom.
Positions (direct):
Cu 0.0000 0.5000 0.3684  3 As 2.46-2.54, 2 Ge 2.54
Cu 0.5000 0.5000 0.0000  4 As 2.53
Cu 0.5000 0.0000 0.6316  3 As 2.46-2.54, 2 Ge 2.54
Cu 0.0000 0.0000 0.0000  4 As 2.53
Sr 0.5000 0.0000 0.2421  6 As 3.24-3.42, 8 Cu 3.30, 2 Ge 3.42
Sr 0.0000 0.5000 0.7579  6 As 3.24-3.42, 8 Cu 3.30, 2 Ge 3.42
As 0.0000 0.5000 0.1306  5 Cu 2.46-2.53
As 0.5000 0.0000 0.8694  5 Cu 2.46-2.53
As 0.0000 0.0000 0.5000  4 Cu 2.54
Ge 0.5000 0.5000 0.5000  4 Cu 2.54

calculated formation energy	-0.515	eV/atom
symmetry	No. 115


A plane-wave DFT calculation with PBE was carried out for NdHoP2O8 after structural relaxation.

Cell: 5.2669 5.2669 7.1316 Å, 90.00 90.00 120.00°
With the nearest neighbours (Å) after each atom.
Positions (direct):
O 0.8275 0.6534 0.2800  1 P 1.55
O 0.8259 0.1725 0.2800  1 P 1.55
O 0.3333 0.6667 0.0091  1 P 1.53
O 0.1725 0.3466 0.7200  1 P 1.55
O 0.6667 0.3333 0.9909  1 P 1.53
O 0.3466 0.1741 0.2800  1 P 1.55
O 0.1741 0.8275 0.7200  1 P 1.55
O 0.6534 0.8259 0.7200  1 P 1.55
P 0.3333 0.6667 0.7947  4 O 1.53-1.55
P 0.6667 0.3333 0.2053  4 O 1.53-1.55
Nd 0.0000 0.0000 0.0000  6 O 2.55
Ho 0.0000 0.0000 0.5000  6 O 2.23

uncorrected formation energy	-2.91	eV/atom
symmetry	No. 164


A plane-wave DFT calculation with PBE was carried out for PPt2W after structural relaxation.

Cell: 4.7919 4.7919 5.0095 Å, 69.29 69.29 34.74°
With the nearest neighbours (Å) after each atom.
Positions (direct):
W 0.4764 0.4764 0.5673  3 P 2.52-2.57
Pt 0.2589 0.2589 0.2477  2 P 2.46, 1 Pt 2.67
Pt 0.0367 0.0367 0.0200  2 P 2.44, 1 Pt 2.67
P 0.7280 0.7280 0.6651  4 Pt 2.44-2.46, 3 W 2.52-2.57

calculated formation energy	-0.084	eV/atom
symmetry	No. 8


A plane-wave DFT calculation with PBE was carried out for Rb3SiH8 after structural relaxation.

Cell: 6.9056 7.8115 7.8115 Å, 120.00 90.00 90.00°
With the nearest neighbours (Å) after each atom.
Positions (direct):
H 0.7981 0.7643 0.2357  1 Si 1.62
H 0.5282 0.5679 0.1357  1 Si 1.63
H 0.2981 0.5285 0.7643  1 Si 1.62
H 0.0282 0.4321 0.5679  1 Si 1.63
H 0.0282 0.1357 0.5679  1 Si 1.63
H 0.9874 0.6667 0.3333  3 H 1.86
H 0.5282 0.8643 0.4321  1 Si 1.63
H 0.7981 0.7643 0.5285  1 Si 1.62
H 0.4739 0.0000 0.0000  6 Rb 2.83
H 0.0282 0.4321 0.8643  1 Si 1.63
H 0.4874 0.3333 0.6667  3 H 1.86
H 0.5282 0.5679 0.4321  1 Si 1.63
H 0.9739 0.0000 0.0000  6 Rb 2.83
H 0.7981 0.4715 0.2357  1 Si 1.62
H 0.2981 0.2357 0.4715  1 Si 1.62
H 0.2981 0.2357 0.7643  1 Si 1.62
Rb 0.2237 0.3321 0.1661  8 H 2.79-3.09
Rb 0.2237 0.8339 0.1661  8 H 2.79-3.09
Rb 0.2237 0.8339 0.6679  8 H 2.79-3.09
Rb 0.7237 0.1661 0.8339  8 H 2.79-3.09
Rb 0.7237 0.6679 0.8339  8 H 2.79-3.09
Rb 0.7237 0.1661 0.3321  8 H 2.79-3.09
Si 0.1620 0.3333 0.6667  6 H 1.62-1.63
Si 0.6620 0.6667 0.3333  6 H 1.62-1.63

total DFT energy (no corrections)	-2.88	eV per atom
symmetry	No. 186


A plane-wave DFT calculation with PBE was carried out for CoNi2Rh after structural relaxation.

Cell: 4.4247 4.4247 4.4247 Å, 131.38 131.38 71.21°
With the nearest neighbours (Å) after each atom.
Positions (direct):
Co 0.7500 0.2500 0.5000  8 Ni 2.56-2.58, 4 Rh 2.56
Ni 0.0000 0.0000 0.0000  4 Co 2.56, 4 Ni 2.56, 4 Rh 2.58
Ni 0.2500 0.7500 0.5000  4 Rh 2.56, 4 Ni 2.56, 4 Co 2.58
Rh 0.5000 0.5000 0.0000  4 Co 2.56, 8 Ni 2.56-2.58

calculated formation energy	0.023	eV/atom
symmetry	No. 119
E above lowest polymorph	11	meV/atom


A plane-wave DFT calculation with PBE was carried out for TlCuIrO6 after structural relaxation.

Cell: 5.4600 5.4600 8.3757 Å, 90.00 90.00 120.00°
With the nearest neighbours (Å) after each atom.
Positions (direct):
Ir 0.6667 0.3333 0.2500  6 O 1.93
Ir 0.3333 0.6667 0.7500  6 O 1.93
Tl 0.3333 0.6667 0.2500  6 O 2.27
Tl 0.6667 0.3333 0.7500  6 O 2.27
O 0.3705 0.0482 0.1193  1 Ir 1.93, 1 Cu 2.15
O 0.3705 0.3223 0.3807  1 Ir 1.93, 1 Cu 2.15
O 0.9518 0.3223 0.1193  1 Ir 1.93, 1 Cu 2.15
O 0.9518 0.6295 0.3807  1 Ir 1.93, 1 Cu 2.15
O 0.6295 0.9518 0.8807  1 Ir 1.93, 1 Cu 2.15
O 0.3223 0.9518 0.6193  1 Ir 1.93, 1 Cu 2.15
O 0.3223 0.3705 0.8807  1 Ir 1.93, 1 Cu 2.15
O 0.0482 0.6777 0.8807  1 Ir 1.93, 1 Cu 2.15
O 0.6777 0.0482 0.3807  1 Ir 1.93, 1 Cu 2.15
O 0.6295 0.6777 0.6193  1 Ir 1.93, 1 Cu 2.15
O 0.6777 0.6295 0.1193  1 Ir 1.93, 1 Cu 2.15
O 0.0482 0.3705 0.6193  1 Ir 1.93, 1 Cu 2.15
Cu 0.0000 0.0000 0.5000  6 O 2.15
Cu 0.0000 0.0000 0.0000  6 O 2.15

uncorrected formation energy	-0.38	eV/atom
symmetry	No. 163